# 1
This record from Alexandria via LeMat-Bulk describes a relaxed YInF3 crystal. The functional is GGA-PBE.

The space group is Pm-3m (No. 221) and the conventional cell measures 4.578, 4.578 and 4.578 Å, with angles of 90.00, 90.00 and 90.00 degrees. The distinct sites, in fractional coordinates, are Y at (0.000, 0.000, 0.000), In at (0.500, 0.500, 0.500) and F at (0.000, 0.500, 0.500).

The formation energy (no corrections) is -1.74 eV per atom. As for the total DFT energy (no corrections): -4.7010 eV per atom. The offset from the most stable computed form is 520 kJ/mol of formula units.

# 2
This record from Alexandria via LeMat-Bulk describes a relaxed YIn2F11 crystal. The functional is GGA-PBE.

The space group is Ibam (No. 72) and the conventional cell measures 8.073, 10.106 and 10.895 Å, with angles of 90.00, 90.00 and 90.00 degrees. The distinct sites, in fractional coordinates, are Y at (0.000, 0.000, 0.250), In at (0.164, 0.308, 0.000), F at (0.000, 0.500, 0.000), F at (0.104, 0.173, 0.141), F at (0.105, 0.307, 0.500) and F at (0.216, 0.077, 0.367).

The formation energy (no corrections) is -2.50 eV per atom. As for the total DFT energy (no corrections): -4.8244 eV per atom.

# 3
This record from Alexandria via LeMat-Bulk describes a relaxed YInF3 crystal. The functional is GGA-PBE.

The space group is Pm-3m (No. 221) and the conventional cell measures 4.540, 4.540 and 4.540 Å, with angles of 90.00, 90.00 and 90.00 degrees. The distinct sites, in fractional coordinates, are Y at (0.000, 0.000, 0.000), In at (0.500, 0.500, 0.500) and F at (0.000, 0.000, 0.500).

The formation energy (no corrections) is -2.82 eV per atom. As for the total DFT energy (no corrections): -5.7795 eV per atom. The offset from the most stable computed form is 0 kJ/mol of formula units.

# 4
This record from Alexandria via LeMat-Bulk describes a relaxed Y3InF crystal. The functional is GGA-PBE.

The space group is Pm-3m (No. 221) and the conventional cell measures 4.893, 4.893 and 4.893 Å, with angles of 90.00, 90.00 and 90.00 degrees. The distinct sites, in fractional coordinates, are Y at (0.000, 0.000, 0.500), In at (0.500, 0.500, 0.500) and F at (0.000, 0.000, 0.000).

The formation energy (no corrections) is -1.06 eV per atom. As for the total DFT energy (no corrections): -5.8622 eV per atom. The offset from the most stable computed form is 0 kJ/mol of formula units.